Density functional theory data (GGA-PBE) for crystalline CePr2Y6 at its relaxed geometry.

Calculated values
- DOS at the Fermi energy: 33.16 states/eV/cell
- ΔE to the lowest computed polymorph: 40 meV/atom
- V: 34.46 Å³/atom

Cell: 6.8263 8.5778 11.8695 Å, 69.63 75.46 75.43°
With the nearest neighbours (Å) after each atom.
Positions (direct):
Ce 0.1557 0.3820 0.1483  5 Y 3.18-3.50
Ce 0.8443 0.6180 0.8517  5 Y 3.18-3.50
Pr 0.3539 0.2020 0.4321  6 Y 3.32-3.71, 1 Pr 3.58, 1 Ce 3.63
Pr 0.4059 0.9285 0.2278  8 Y 3.44-3.82, 1 Ce 3.72, 1 Pr 3.82
Pr 0.5941 0.0715 0.7722  8 Y 3.44-3.82, 1 Ce 3.72, 1 Pr 3.82
Pr 0.6461 0.7980 0.5679  6 Y 3.32-3.71, 1 Pr 3.58, 1 Ce 3.63
Y 0.0326 0.6223 0.3173  1 Ce 3.18, 2 Y 3.39-3.51
Y 0.1425 0.1681 0.9667  1 Ce 3.31, 7 Y 3.35-3.68, 2 Pr 3.46-3.68
Y 0.1437 0.9559 0.7383  6 Y 3.37-3.75, 4 Pr 3.59-3.71, 1 Ce 3.64
Y 0.1496 0.7837 0.5220  3 Pr 3.32-3.60, 5 Y 3.37-3.70
Y 0.3642 0.5252 0.7931  4 Y 3.26-3.63, 1 Ce 3.38, 1 Pr 3.41
Y 0.3703 0.7486 0.0062  4 Y 3.26-3.58, 2 Ce 3.42-3.50, 2 Pr 3.52-3.56
Y 0.6297 0.2514 0.9938  4 Y 3.26-3.58, 2 Ce 3.42-3.50, 2 Pr 3.52-3.56
Y 0.6358 0.4748 0.2069  4 Y 3.26-3.63, 1 Ce 3.38, 1 Pr 3.41
Y 0.8504 0.2163 0.4780  3 Pr 3.32-3.60, 5 Y 3.37-3.70
Y 0.8563 0.0441 0.2617  6 Y 3.37-3.75, 4 Pr 3.59-3.71, 1 Ce 3.64
Y 0.8575 0.8319 0.0333  1 Ce 3.31, 7 Y 3.35-3.68, 2 Pr 3.46-3.68
Y 0.9674 0.3777 0.6827  1 Ce 3.18, 2 Y 3.39-3.51